## one
# B2C

B2C after structural relaxation (PBE-GGA, the Alexandria database).

The structure belongs to space group P3m1 (No. 156); the cell edges are 2.6362, 2.6362 and 15.5664 Å and the angles 90.00°, 90.00° and 120.00°. Symmetry generates all atoms from B at (0.0000, 0.0000, 0.0000), B at (0.0000, 0.0000, 0.1072), B at (0.0000, 0.0000, 0.6304), B at (0.3333, 0.6667, 0.1734), B at (0.3333, 0.6667, 0.2856), B at (0.3333, 0.6667, 0.6969), B at (0.6667, 0.3333, 0.5213), B at (0.6667, 0.3333, 0.9335), C at (0.0000, 0.0000, 0.5301), C at (0.3333, 0.6667, 0.7979), C at (0.6667, 0.3333, 0.2880) and C at (0.6667, 0.3333, 0.8319).

## two
# B2C

B2C after structural relaxation (PBE-GGA, the Alexandria database).

The structure belongs to space group C222_1 (No. 20); the cell edges are 3.550, 13.530 and 3.512 Å and the angles 90.00°, 90.00° and 90.00°. Symmetry generates all atoms from B at (0.000, 0.064, 0.250), B at (0.000, 0.252, 0.750), B at (0.229, 0.345, 0.035), C at (0.000, 0.435, 0.250) and C at (0.234, 0.500, 0.500).

Relative energy of each structure, in eV/atom: one 0.008; two 0.000.

## one
# B5C7

B5C7 after structural relaxation (PBE-GGA, the Alexandria database).

The structure belongs to space group Pm (No. 6); the cell edges are 4.684, 2.621 and 6.508 Å and the angles 90.00°, 94.53° and 90.00°. Symmetry generates all atoms from B at (0.000, 0.000, 0.000), B at (0.012, 0.000, 0.673), B at (0.310, 0.000, 0.278), B at (0.509, 0.500, 0.956), B at (0.705, 0.000, 0.390), C at (0.168, 0.500, 0.383), C at (0.194, 0.500, 0.616), C at (0.335, 0.000, 0.036), C at (0.509, 0.500, 0.702), C at (0.665, 0.000, 0.638), C at (0.828, 0.500, 0.057) and C at (0.852, 0.500, 0.288).

## two
# B5C7

B5C7 after structural relaxation (PBE-GGA, the Alexandria database).

The structure belongs to space group Cm (No. 8); the cell edges are 8.446, 2.521 and 8.348 Å and the angles 90.00°, 120.11° and 90.00°. Symmetry generates all atoms from B at (0.000, 0.000, 0.000), B at (0.022, 0.500, 0.161), B at (0.067, 0.500, 0.638), B at (0.212, 0.000, 0.964), B at (0.388, 0.500, 0.769), C at (0.052, 0.000, 0.490), C at (0.209, 0.500, 0.351), C at (0.215, 0.000, 0.461), C at (0.244, 0.500, 0.856), C at (0.352, 0.000, 0.194), C at (0.366, 0.500, 0.307) and C at (0.387, 0.000, 0.652).

Relative energy of each structure, in eV/atom: one 0.000; two 0.021.

## one
# TaCr2Mo

TaCr2Mo after structural relaxation (PBE-GGA, the Alexandria database).

The structure belongs to space group Fm-3m (No. 225); the cell edges are 6.117, 6.117 and 6.117 Å and the angles 90.00°, 90.00° and 90.00°. Symmetry generates all atoms from Ta at (0.000, 0.000, 0.000), Cr at (0.250, 0.250, 0.250) and Mo at (0.000, 0.000, 0.500).

## two
# TaCr2Mo

TaCr2Mo after structural relaxation (PBE-GGA, the Alexandria database).

The structure belongs to space group P4mm (No. 99); the cell edges are 3.058, 3.058 and 6.162 Å and the angles 90.00°, 90.00° and 90.00°. Symmetry generates all atoms from Ta at (0.000, 0.000, 0.000), Cr at (0.000, 0.000, 0.481), Cr at (0.500, 0.500, 0.253) and Mo at (0.500, 0.500, 0.719).

Relative energy of each structure, in eV/atom: one 0.000; two 0.049.

## one
# BaCuBr2

BaCuBr2 after structural relaxation (PBE-GGA, the Alexandria database).

The structure belongs to space group I-42d (No. 122); the cell edges are 5.636, 5.636 and 18.025 Å and the angles 90.00°, 90.00° and 90.00°. Symmetry generates all atoms from Ba at (0.000, 0.000, 0.000), Cu at (0.000, 0.000, 0.500) and Br at (0.191, 0.250, 0.625).

## two
# BaCuBr2

BaCuBr2 after structural relaxation (PBE-GGA, the Alexandria database).

The structure belongs to space group Cmm2 (No. 35); the cell edges are 6.417, 6.427 and 6.216 Å and the angles 90.00°, 90.00° and 90.00°. Symmetry generates all atoms from Ba at (0.000, 0.000, 0.000), Cu at (0.000, 0.500, 0.393), Br at (0.000, 0.000, 0.490) and Br at (0.000, 0.500, 0.825).

Relative energy of each structure, in eV/atom: one 0.006; two 0.000.

## one
# NaScSN2

NaScSN2 after structural relaxation (PBE-GGA, the Alexandria database).

The structure belongs to space group P4/mmm (No. 123); the cell edges are 4.141, 4.141 and 4.834 Å and the angles 90.00°, 90.00° and 90.00°. Symmetry generates all atoms from Na at (0.000, 0.000, 0.000), Sc at (0.500, 0.500, 0.500), S at (0.000, 0.000, 0.500) and N at (0.000, 0.500, 0.000).

## two
# NaScSN2

NaScSN2 after structural relaxation (PBE-GGA, the Alexandria database).

The structure belongs to space group P4/mmm (No. 123); the cell edges are 4.329, 4.329 and 5.070 Å and the angles 90.00°, 90.00° and 90.00°. Symmetry generates all atoms from Na at (0.000, 0.000, 0.000), Sc at (0.500, 0.500, 0.500), S at (0.500, 0.500, 0.000) and N at (0.000, 0.500, 0.500).

Relative energy of each structure, in eV/atom: one 1.007; two 0.000.

## one
# MnVS2

MnVS2 after structural relaxation (PBE-GGA, the Alexandria database).

The structure belongs to space group R-3m (No. 166, hexagonal axes); the cell edges are 3.1827, 3.1827 and 22.7134 Å and the angles 90.00°, 90.00° and 120.00°. Symmetry generates all atoms from Mn at (0.0000, 0.0000, 0.0000), V at (0.0000, 0.0000, 0.5000) and S at (0.0000, 0.0000, 0.1017).

## two
# MnVS2

MnVS2 after structural relaxation (PBE-GGA, the Alexandria database).

The structure belongs to space group Fm-3m (No. 225); the cell edges are 6.024, 6.024 and 6.024 Å and the angles 90.00°, 90.00° and 90.00°. Symmetry generates all atoms from Mn at (0.000, 0.000, 0.000), V at (0.000, 0.000, 0.500) and S at (0.250, 0.250, 0.250).

Relative energy of each structure, in eV/atom: one 0.000; two 0.172.